1 | {"formula": "ZrNb3Fe", "functional": "PBEsol", "state": "relaxed", "lattice_angstrom": [[-1.108, 1.978, -3.987], [-4.394, 0.168, 1.305], [0.709, 4.135, 1.854]], "species": ["Nb", "Nb", "Nb", "Zr", "Fe"], "frac_coords": [[0.000, 0.500, 0.000], [0.000, 0.000, 0.500], [0.500, 0.000, 0.000], [0.500, 0.500, 0.500], [0.000, 0.000, 0.000]], "n_ef_per_ev_cell": 5.49, "m_tot_mub_per_fu": 0.00, "sg": "No. 221"}

---

2 | {"formula": "ZrNb3Fe", "functional": "PBEsol", "state": "relaxed", "lattice_angstrom": [[4.795, 0.000, 0.000], [0.000, 4.795, 0.000], [0.000, 0.000, 4.795]], "species": ["Nb", "Nb", "Nb", "Zr", "Fe"], "frac_coords": [[0.000, 0.500, 0.000], [0.500, 0.000, 0.000], [0.000, 0.000, 0.500], [0.000, 0.000, 0.000], [0.500, 0.500, 0.500]], "n_ef_per_ev_cell": 7.23, "m_tot_mub_per_fu": 3.44, "sg": "No. 221"}

---

Most stable structure: 1

---

1 | {"formula": "Fe4Ni3", "functional": "PBEsol", "state": "relaxed", "lattice_angstrom": [[-3.178, -2.558, -1.693], [3.104, -2.351, -2.274], [-1.192, -1.272, 4.158]], "species": ["Fe", "Fe", "Fe", "Fe", "Ni", "Ni", "Ni"], "frac_coords": [[0.500, 0.667, 0.333], [0.257, 0.000, 0.000], [0.743, 0.000, 0.000], [0.500, 0.333, 0.667], [0.000, 0.500, 0.500], [0.000, 0.500, 0.000], [0.000, 0.000, 0.500]], "n_ef_per_ev_cell": 5.03, "m_tot_mub_per_fu": 12.26, "sg": "No. 191"}

---

2 | {"formula": "Fe4Ni3", "functional": "PBEsol", "state": "relaxed", "lattice_angstrom": [[2.862, 0.000, 0.000], [0.000, 2.862, 0.000], [-1.431, -1.431, 9.369]], "species": ["Fe", "Fe", "Fe", "Fe", "Ni", "Ni", "Ni"], "frac_coords": [[0.146, 0.146, 0.292], [0.573, 0.573, 0.146], [0.427, 0.427, 0.854], [0.854, 0.854, 0.708], [0.000, 0.000, 0.000], [0.286, 0.286, 0.572], [0.714, 0.714, 0.428]], "n_ef_per_ev_cell": 7.10, "m_tot_mub_per_fu": 12.37, "sg": "No. 139"}

---

Most stable structure: 2

---

1 | {"formula": "Fe2Ni3", "functional": "PBEsol", "state": "relaxed", "lattice_angstrom": [[-0.289, -0.445, -2.404], [-1.897, -1.360, -0.781], [-6.365, 7.757, -1.931]], "species": ["Ni", "Ni", "Ni", "Fe", "Fe"], "frac_coords": [[0.000, 0.000, 0.000], [0.200, 0.200, 0.399], [0.800, 0.800, 0.601], [0.400, 0.400, 0.799], [0.600, 0.600, 0.201]], "n_ef_per_ev_cell": 4.17, "m_tot_mub_per_fu": 6.83, "sg": "No. 166"}

---

2 | {"formula": "Fe2Ni3", "functional": "PBEsol", "state": "relaxed", "lattice_angstrom": [[4.346, 0.000, 0.000], [2.173, 4.185, 0.000], [-2.173, 0.000, 5.955]], "species": ["Ni", "Ni", "Ni", "Ni", "Ni", "Ni", "Fe", "Fe", "Fe", "Fe"], "frac_coords": [[0.905, 0.581, 0.702], [0.735, 0.919, 0.202], [0.322, 0.500, 0.500], [0.072, 0.000, 0.000], [0.453, 0.081, 0.798], [0.783, 0.419, 0.298], [0.198, 0.446, 0.102], [0.894, 0.054, 0.602], [0.542, 0.554, 0.898], [0.346, 0.946, 0.398]], "n_ef_per_ev_cell": 8.34, "m_tot_mub_per_fu": 7.29, "sg": "No. 43"}

---

Most stable structure: 1

---

1 | {"formula": "FeNiPt", "functional": "PBEsol", "state": "relaxed", "lattice_angstrom": [[3.927, 0.000, 0.000], [1.964, 3.401, 0.000], [1.964, 1.134, 3.207]], "species": ["Pt", "Ni", "Fe"], "frac_coords": [[0.500, 0.500, 0.500], [0.000, 0.000, 0.000], [0.250, 0.250, 0.250]], "n_ef_per_ev_cell": 0.90, "m_tot_mub_per_fu": 4.06, "sg": "No. 216"}

---

2 | {"formula": "FeNiPt", "functional": "PBEsol", "state": "relaxed", "lattice_angstrom": [[2.602, 0.000, 0.000], [0.000, 4.071, 0.000], [0.000, -2.035, 3.525]], "species": ["Fe", "Pt", "Ni"], "frac_coords": [[0.837, 0.000, 0.000], [0.333, 0.667, 0.333], [0.830, 0.333, 0.667]], "n_ef_per_ev_cell": 2.57, "m_tot_mub_per_fu": 3.80, "sg": "No. 156"}

---

3 | {"formula": "FeNiPt", "functional": "PBEsol", "state": "relaxed", "lattice_angstrom": [[-2.564, -0.315, 0.573], [0.459, -2.518, 0.671], [1.986, 2.920, 4.378]], "species": ["Pt", "Fe", "Ni"], "frac_coords": [[0.666, 0.666, 0.332], [0.993, 0.993, 0.985], [0.342, 0.342, 0.683]], "n_ef_per_ev_cell": 2.15, "m_tot_mub_per_fu": 3.72, "sg": "No. 107"}

---

Most stable structure: 3

---

1 | {"formula": "FeRe2Ni", "functional": "PBEsol", "state": "relaxed", "lattice_angstrom": [[-0.151, 3.311, -1.674], [-3.230, -0.942, -1.572], [-0.113, 0.189, 4.504]], "species": ["Fe", "Re", "Re", "Ni"], "frac_coords": [[0.000, 0.000, 0.000], [0.500, 0.500, 0.000], [0.750, 0.250, 0.500], [0.250, 0.750, 0.500]], "n_ef_per_ev_cell": 3.01, "m_tot_mub_per_fu": 1.96, "sg": "No. 119"}

---

2 | {"formula": "FeRe2Ni", "functional": "PBEsol", "state": "relaxed", "lattice_angstrom": [[-1.290, -1.462, 3.119], [-2.424, -1.982, -1.931], [2.451, -2.737, -0.268]], "species": ["Fe", "Ni", "Re", "Re"], "frac_coords": [[0.500, 0.500, 0.500], [0.000, 0.000, 0.500], [0.500, 0.000, 0.000], [0.000, 0.500, 0.000]], "n_ef_per_ev_cell": 4.69, "m_tot_mub_per_fu": 1.08, "sg": "No. 123"}

---

3 | {"formula": "FeRe2Ni", "functional": "PBEsol", "state": "relaxed", "lattice_angstrom": [[-0.699, -0.602, 2.915], [-0.162, -2.982, -0.655], [5.260, -0.539, 1.149]], "species": ["Ni", "Re", "Re", "Fe"], "frac_coords": [[0.500, 0.500, 0.728], [0.500, 0.500, 0.260], [0.000, 0.000, 0.983], [0.000, 0.000, 0.529]], "n_ef_per_ev_cell": 3.09, "m_tot_mub_per_fu": 1.93, "sg": "No. 99"}

---

4 | {"formula": "FeRe2Ni", "functional": "PBEsol", "state": "relaxed", "lattice_angstrom": [[-0.210, -0.909, 4.074], [1.057, -3.812, 1.348], [3.510, -0.538, 2.204]], "species": ["Ni", "Re", "Re", "Fe"], "frac_coords": [[0.250, 0.250, 0.250], [0.000, 0.000, 0.000], [0.750, 0.750, 0.750], [0.500, 0.500, 0.500]], "n_ef_per_ev_cell": 5.67, "m_tot_mub_per_fu": 1.92, "sg": "No. 216"}

---

Most stable structure: 1

---

1 | {"formula": "FeReNi2", "functional": "PBEsol", "state": "relaxed", "lattice_angstrom": [[-1.766, -1.792, -0.270], [1.260, -0.662, -3.846], [2.885, -3.066, 1.472]], "species": ["Fe", "Re", "Ni", "Ni"], "frac_coords": [[0.500, 0.500, 0.212], [0.500, 0.000, 0.533], [0.000, 0.000, 0.032], [0.000, 0.500, 0.723]], "n_ef_per_ev_cell": 3.51, "m_tot_mub_per_fu": 2.57, "sg": "No. 25"}

---

2 | {"formula": "FeReNi2", "functional": "PBEsol", "state": "relaxed", "lattice_angstrom": [[-1.640, 1.839, 0.687], [-1.576, -0.700, -1.890], [-3.279, -4.580, 4.432]], "species": ["Ni", "Ni", "Re", "Fe"], "frac_coords": [[0.000, 0.000, 0.740], [0.000, 0.000, 0.260], [0.500, 0.500, 0.000], [0.500, 0.500, 0.500]], "n_ef_per_ev_cell": 4.60, "m_tot_mub_per_fu": 3.36, "sg": "No. 123"}

---

Most stable structure: 1

---

1 | {"formula": "FeNiSe2", "functional": "PBEsol", "state": "relaxed", "lattice_angstrom": [[-0.992, 3.400, 0.506], [-2.577, 1.433, -2.027], [-5.292, -0.175, 3.447]], "species": ["Fe", "Se", "Se", "Ni"], "frac_coords": [[0.514, 0.514, 0.457], [0.777, 0.777, 0.668], [0.966, 0.966, 0.103], [0.243, 0.243, 0.272]], "n_ef_per_ev_cell": 2.68, "m_tot_mub_per_fu": 2.48, "sg": "No. 160"}

---

2 | {"formula": "FeNiSe2", "functional": "PBEsol", "state": "relaxed", "lattice_angstrom": [[-1.082, 3.048, 0.319], [-3.090, 0.711, -0.717], [-3.303, -0.143, 6.722]], "species": ["Se", "Se", "Ni", "Fe"], "frac_coords": [[0.102, 0.102, 0.695], [0.898, 0.898, 0.305], [0.000, 0.000, 0.000], [0.500, 0.500, 0.500]], "n_ef_per_ev_cell": 4.85, "m_tot_mub_per_fu": 1.51, "sg": "No. 166"}

---

Most stable structure: 1

---

1 | {"formula": "FeNiSe2", "functional": "PBEsol", "state": "relaxed", "lattice_angstrom": [[3.595, 0.000, 0.000], [0.000, 3.596, 0.084], [0.000, -0.125, 5.341]], "species": ["Ni", "Se", "Se", "Fe"], "frac_coords": [[0.500, 0.125, 0.625], [0.500, 0.625, 0.353], [0.000, 0.125, 0.897], [0.000, 0.625, 0.625]], "n_ef_per_ev_cell": 3.50, "m_tot_mub_per_fu": 1.28, "sg": "No. 115"}

---

2 | {"formula": "FeNiSe2", "functional": "PBEsol", "state": "relaxed", "lattice_angstrom": [[-0.072, -1.093, -2.990], [2.019, -2.327, 0.802], [-4.827, -3.684, 1.463]], "species": ["Ni", "Se", "Se", "Fe"], "frac_coords": [[0.500, 0.500, 0.741], [0.000, 0.000, 0.883], [0.500, 0.500, 0.362], [0.000, 0.000, 0.515]], "n_ef_per_ev_cell": 3.22, "m_tot_mub_per_fu": 1.36, "sg": "No. 99"}

---

Most stable structure: 1

---

1 | {"formula": "Fe2NiW", "functional": "PBEsol", "state": "relaxed", "lattice_angstrom": [[-0.471, -3.068, 1.834], [-0.274, -1.813, -3.104], [3.899, 1.901, 0.639]], "species": ["W", "Fe", "Fe", "Ni"], "frac_coords": [[0.750, 0.250, 0.500], [0.500, 0.500, 0.000], [0.250, 0.750, 0.500], [0.000, 0.000, 0.000]], "n_ef_per_ev_cell": 3.39, "m_tot_mub_per_fu": 2.62, "sg": "No. 119"}

---

2 | {"formula": "Fe2NiW", "functional": "PBEsol", "state": "relaxed", "lattice_angstrom": [[3.606, 0.000, 0.000], [0.000, 3.606, 0.000], [-1.803, -1.803, 3.574]], "species": ["Fe", "Fe", "Ni", "W"], "frac_coords": [[0.250, 0.750, 0.500], [0.750, 0.250, 0.500], [0.500, 0.500, 0.000], [0.000, 0.000, 0.000]], "n_ef_per_ev_cell": 3.91, "m_tot_mub_per_fu": 2.68, "sg": "No. 139"}

---

Most stable structure: 1

---

1 | {"formula": "FeP2PdO", "functional": "PBEsol", "state": "relaxed", "lattice_angstrom": [[-2.535, -0.962, 1.850], [2.817, -0.803, 3.442], [-0.556, 4.246, 1.446]], "species": ["Fe", "P", "P", "O", "Pd"], "frac_coords": [[0.000, 0.000, 0.000], [0.000, 0.500, 0.000], [0.000, 0.000, 0.500], [0.500, 0.000, 0.000], [0.500, 0.500, 0.500]], "n_ef_per_ev_cell": 2.88, "m_tot_mub_per_fu": 0.00, "sg": "No. 123"}

---

2 | {"formula": "FeP2PdO", "functional": "PBEsol", "state": "relaxed", "lattice_angstrom": [[3.712, 0.000, 0.000], [0.000, 4.666, 0.000], [0.000, 0.000, 4.666]], "species": ["P", "P", "Pd", "O", "Fe"], "frac_coords": [[0.000, 0.500, 0.000], [0.000, 0.000, 0.500], [0.000, 0.000, 0.000], [0.500, 0.000, 0.000], [0.500, 0.500, 0.500]], "n_ef_per_ev_cell": 5.42, "m_tot_mub_per_fu": 3.77, "sg": "No. 123"}

---

Most stable structure: 1

---

1 | {"formula": "FeTcPO2", "functional": "PBEsol", "state": "relaxed", "lattice_angstrom": [[-1.094, -1.958, 2.878], [0.369, -3.065, -1.945], [4.899, -0.413, 1.580]], "species": ["Fe", "O", "O", "Tc", "P"], "frac_coords": [[0.500, 0.500, 0.500], [0.500, 0.000, 0.000], [0.000, 0.500, 0.000], [0.000, 0.000, 0.000], [0.000, 0.000, 0.500]], "n_ef_per_ev_cell": 6.53, "m_tot_mub_per_fu": 3.11, "sg": "No. 123"}

---

2 | {"formula": "FeTcPO2", "functional": "PBEsol", "state": "relaxed", "lattice_angstrom": [[-0.117, -2.268, -2.709], [3.486, -0.514, 0.280], [-0.785, -3.641, 3.081]], "species": ["Fe", "O", "O", "P", "Tc"], "frac_coords": [[0.000, 0.000, 0.000], [0.000, 0.500, 0.000], [0.500, 0.000, 0.000], [0.000, 0.000, 0.500], [0.500, 0.500, 0.500]], "n_ef_per_ev_cell": 4.45, "m_tot_mub_per_fu": 4.90, "sg": "No. 123"}

---

Most stable structure: 1